Entry from the Alexandria database: a relaxed structure of Mg3Sc2In3 (PBE-GGA).

abc: 4.466 4.539 8.746
angles: 90.00 90.00 90.00
Fractional positions:
Mg (0.000, 0.000, 0.000)
Mg (0.500, 0.000, 0.248)
Mg (0.500, 0.000, 0.752)
Sc (0.000, 0.500, 0.253)
Sc (0.000, 0.500, 0.747)
In (0.000, 0.000, 0.500)
In (0.500, 0.500, 0.000)
In (0.500, 0.500, 0.500)

- spin magnetization (Bohr magnetons per cell) = 0.0
- energy relative to the elements (eV per atom) = -0.29
- space-group type = Pmmm (47)
- energy (hartree per atom) = -0.129
- theoretical density (g cm⁻³) = 4.751
- D(E_F) (states/eV/atom) = 0.576


Entry from the Alexandria database: a relaxed structure of MgSc4In (PBE-GGA).

abc: 5.909 5.909 5.909
angles: 60.00 60.00 60.00
Fractional positions:
Mg (0.000, 0.000, 0.000)
Sc (0.125, 0.625, 0.625)
Sc (0.625, 0.125, 0.625)
Sc (0.625, 0.625, 0.125)
Sc (0.625, 0.625, 0.625)
In (0.250, 0.250, 0.250)

- spin magnetization (Bohr magnetons per cell) = 0.0
- energy relative to the elements (eV per atom) = 0.13
- space-group type = F-43m (216)
- energy (hartree per atom) = -0.177
- theoretical density (g cm⁻³) = 3.630
- D(E_F) (states/eV/atom) = 1.009
- energy above the most stable polymorph in this dataset (eV/atom) = 0.1120


Entry from the Alexandria database: a relaxed structure of MgScIn (PBE-GGA).

abc: 4.751 4.751 4.751
angles: 60.00 60.00 60.00
Fractional positions:
Mg (0.000, 0.000, 0.000)
Sc (0.250, 0.250, 0.250)
In (0.750, 0.750, 0.750)

- spin magnetization (Bohr magnetons per cell) = 0.0
- energy relative to the elements (eV per atom) = 0.06
- space-group type = F-43m (216)
- energy (hartree per atom) = -0.128
- theoretical density (g cm⁻³) = 4.031
- D(E_F) (states/eV/atom) = 0.347


Entry from the Alexandria database: a relaxed structure of MgSc4In (PBE-GGA).

abc: 8.594 8.594 8.594
angles: 32.84 32.84 32.84
Fractional positions:
Mg (0.000, 0.000, 0.000)
Sc (0.125, 0.125, 0.125)
Sc (0.377, 0.377, 0.377)
Sc (0.623, 0.623, 0.623)
Sc (0.875, 0.875, 0.875)
In (0.500, 0.500, 0.500)

- spin magnetization (Bohr magnetons per cell) = 0.8
- energy relative to the elements (eV per atom) = 0.25
- space-group type = R-3m (166)
- energy (hartree per atom) = -0.172
- theoretical density (g cm⁻³) = 3.189
- D(E_F) (states/eV/atom) = 1.589
- energy above the most stable polymorph in this dataset (eV/atom) = 0.2335


Entry from the Alexandria database: a relaxed structure of MgScIn (PBE-GGA).

abc: 4.819 4.819 4.819
angles: 60.00 60.00 60.00
Fractional positions:
Mg (0.000, 0.000, 0.000)
Sc (0.500, 0.500, 0.500)
In (0.750, 0.750, 0.750)

- spin magnetization (Bohr magnetons per cell) = 0.0
- energy relative to the elements (eV per atom) = -0.09
- space-group type = F-43m (216)
- energy (hartree per atom) = -0.134
- theoretical density (g cm⁻³) = 3.863
- D(E_F) (states/eV/atom) = 0.010


Entry from the Alexandria database: a relaxed structure of MgScIn6 (PBE-GGA).

abc: 6.487 6.487 4.580
angles: 90.00 90.00 90.06
Fractional positions:
Mg (0.000, 0.000, 0.000)
Sc (0.500, 0.500, 0.000)
In (0.000, 0.500, 0.000)
In (0.251, 0.251, 0.500)
In (0.252, 0.748, 0.500)
In (0.500, 0.000, 0.000)
In (0.748, 0.252, 0.500)
In (0.749, 0.749, 0.500)

- spin magnetization (Bohr magnetons per cell) = 0.0
- energy relative to the elements (eV per atom) = -0.14
- space-group type = Cmmm (65)
- energy (hartree per atom) = -0.117
- theoretical density (g cm⁻³) = 6.533
- D(E_F) (states/eV/atom) = 0.509